Computed, not measured: a geometry-optimized K2AgI structure at the PBE level of DFT.

Geometry as CIF:
```
data_K2AgI
_chemical_formula_sum 'K4 Ag2 I2'
_cell_length_a 8.0634
_cell_length_b 8.0634
_cell_length_c 8.0634
_cell_angle_alpha 112.16
_cell_angle_beta 112.16
_cell_angle_gamma 104.22
_symmetry_space_group_name_H-M 'P 1'
_symmetry_Int_Tables_number 1
loop_
_symmetry_equiv_pos_as_xyz
'x,y,z'
loop_
_atom_site_label
_atom_site_type_symbol
_atom_site_fract_x
_atom_site_fract_y
_atom_site_fract_z
K1 K 0.1217 0.6250 0.9967
K2 K 0.3750 0.3717 0.4967
K3 K 0.6283 0.1250 0.0033
K4 K 0.8750 0.8783 0.5033
Ag1 Ag 0.0000 0.0000 0.0000
Ag2 Ag 0.7500 0.2500 0.5000
I1 I 0.2500 0.7500 0.5000
I2 I 0.5000 0.5000 0.0000
```

- density (g/cm³) = 2.6
- E above lowest polymorph (kJ/mol of atoms) = 8.2
- uncorrected formation energy (eV per atom) = -0.577
- final energy (eV/f.u.) = -8.90